# 1
Here is a relaxed structure of La4RhSe2S from Alexandria via LeMat-Bulk. Energies are from PBE-GGA.

Unit cell a=7.411 b=4.197 c=7.495 alpha=90.00 beta=109.05 gamma=90.00
Sites, in units of the cell vectors:
La 0.238 0.000 0.230
La 0.254 0.500 0.763
La 0.746 0.500 0.237
La 0.762 0.000 0.770
Rh 0.000 0.500 0.000
Se 0.000 0.000 0.500
Se 0.500 0.500 0.500
S 0.500 0.000 0.000

Energy relative to the elements, uncorrected: -13.54 eV per formula unit
Calculated density: 6.39 Mg/m³

# 2
Here is a relaxed structure of RbBi3C from Alexandria via LeMat-Bulk. Energies are from PBE-GGA.

Unit cell a=6.289 b=6.289 c=6.289 alpha=90.00 beta=90.00 gamma=90.00
Sites, in units of the cell vectors:
Rb 0.000 0.000 0.000
Bi 0.000 0.000 0.500
Bi 0.000 0.500 0.000
Bi 0.500 0.000 0.000
C 0.500 0.500 0.500

ΔE_f: 60.8 kcal/mol of atoms
Calculated density: 4.84 Mg/m³

# 3
Here is a relaxed structure of KHfAl from Alexandria via LeMat-Bulk. Energies are from PBE-GGA.

Unit cell a=13.659 b=5.517 c=5.175 alpha=90.00 beta=90.00 gamma=90.00
Sites, in units of the cell vectors:
K 0.240 0.250 0.015
K 0.260 0.750 0.515
K 0.740 0.250 0.485
K 0.760 0.750 0.985
Hf 0.007 0.250 0.500
Hf 0.493 0.750 0.000
Hf 0.507 0.250 0.000
Hf 0.993 0.750 0.500
Al 0.000 0.000 0.000
Al 0.000 0.500 0.000
Al 0.500 0.000 0.500
Al 0.500 0.500 0.500

ΔE_f: 10.3 kcal/mol of atoms
Calculated density: 4.17 Mg/m³

# 4
Here is a relaxed structure of CoPb2Au from Alexandria via LeMat-Bulk. Energies are from PBE-GGA.

Unit cell a=3.326 b=3.326 c=8.090 alpha=90.00 beta=90.00 gamma=90.00
Sites, in units of the cell vectors:
Co 0.000 0.000 0.000
Pb 0.000 0.000 0.590
Pb 0.500 0.500 0.211
Au 0.500 0.500 0.833

ΔE_f: 5.5 kcal/mol of atoms
Calculated density: 12.44 Mg/m³